# HfReTe2N

An optimized crystal structure of HfReTe2N (GGA-PBE, Alexandria via LeMat-Bulk).

It has space group P4/mmm (No. 123), with a = 5.4362 Å, b = 5.4362 Å, c = 3.7199 Å, α = 90.00°, β = 90.00° and γ = 90.00°. The asymmetric unit holds Hf at (0.0000, 0.0000, 0.0000), Re at (0.5000, 0.5000, 0.5000), Te at (0.0000, 0.5000, 0.5000) and N at (0.5000, 0.5000, 0.0000).

The energy above the most stable polymorph in this dataset is 0.000 eV per atom. The calculation puts the density of states at the Fermi level at 0.76 states/eV per atom. As for the energy relative to the elements, uncorrected: 0.341 eV/atom.